Computed, not measured: a geometry-optimized ZrAlPb2 structure at the GGA-PBEsol level of DFT.

Cell and atoms, written as extended XYZ:
```
4
Lattice="3.841 0.000 0.000 0.000 3.841 0.000 0.000 0.000 6.192" Properties=species:S:1:pos:R:3 pbc="T T T"
Zr 0.000 0.000 0.000
Al 0.000 0.000 3.096
Pb 1.920 1.920 1.559
Pb 1.920 1.920 4.633
```

Properties
As for the space-group type: No. 123. As for the total magnetization: 0.000 μB/f.u.



Computed, not measured: a geometry-optimized ZrAl4Pb structure at the GGA-PBEsol level of DFT.

Cell and atoms, written as extended XYZ:
```
6
Lattice="0.000 3.822 3.822 3.822 0.000 3.822 3.822 3.822 0.000" Properties=species:S:1:pos:R:3 pbc="T T T"
Zr 0.000 0.000 0.000
Al 4.784 2.859 2.859
Al 2.859 4.784 2.859
Al 2.859 2.859 4.784
Al 4.784 4.784 4.784
Pb 1.911 1.911 1.911
```

Properties
As for the space-group type: No. 216. As for the total magnetization: 0.000 μB/f.u.



Computed, not measured: a geometry-optimized ZrAlPb2 structure at the GGA-PBEsol level of DFT.

Cell and atoms, written as extended XYZ:
```
4
Lattice="0.000 3.654 3.654 3.654 0.000 3.654 3.654 3.654 0.000" Properties=species:S:1:pos:R:3 pbc="T T T"
Zr 0.000 0.000 0.000
Al 1.827 1.827 1.827
Pb 3.654 3.654 3.654
Pb 5.480 5.480 5.480
```

Properties
As for the space-group type: No. 216. As for the total magnetization: 0.497 μB/f.u.



Computed, not measured: a geometry-optimized ZrAlPb2 structure at the GGA-PBEsol level of DFT.

Cell and atoms, written as extended XYZ:
```
4
Lattice="1.620 0.935 10.715 -1.620 0.935 10.715 0.000 -1.871 10.715" Properties=species:S:1:pos:R:3 pbc="T T T"
Zr 0.000 0.000 0.000
Al 0.000 0.000 23.695
Pb 0.000 0.000 8.087
Pb 0.000 0.000 15.596
```

Properties
As for the space-group type: No. 160. As for the total magnetization: 0.000 μB/f.u.



| no. | density of states at the Fermi level (states/eV/cell) | formation enthalpy at 0 K (eV/f.u.) |
| --- | --- | --- |
| 1 | 2.076 | -0.05 |
| 2 | 2.442 | -0.87 |
| 3 | 4.452 | 1.28 |
| 4 | 2.705 | 0.25 |